# 1
CoOs2Se after structural relaxation, computed with PBE-GGA.

a = 5.295 Å, b = 5.295 Å, c = 10.984 Å
α = 90.00°, β = 90.00°, γ = 90.00°
Space group I-42d (No. 122)
One atom of each set of equivalent atoms:
Co: 0.000 0.000 0.000 x4
Os: 0.231 0.250 0.125 x8
Se: 0.000 0.000 0.500 x4

Calculated values
* magnetic moment: 0.00 Bohr magnetons per cell
* E_tot: -0.263 hartree per atom

***

# 2
AgRh after structural relaxation, computed with PBE-GGA.

a = 2.739 Å, b = 2.739 Å, c = 4.274 Å
α = 90.00°, β = 90.00°, γ = 90.00°
Space group P4/mmm (No. 123)
One atom of each set of equivalent atoms:
Ag: 0.000 0.000 0.000 x1
Rh: 0.500 0.500 0.500 x1

Calculated values
* magnetic moment: 0.80 Bohr magnetons per cell
* E_tot: -0.175 hartree per atom

***

# 3
Pr3Y8 after structural relaxation, computed with PBE-GGA.

a = 9.9785 Å, b = 9.9785 Å, c = 12.9399 Å
α = 90.00°, β = 90.00°, γ = 120.00°
Space group R-3 (No. 148, hexagonal axes)
One atom of each set of equivalent atoms:
Pr: 0.0000 0.5000 0.0000 x9
Y: 0.0000 0.0000 0.3693 x6
Y: 0.0233 0.2160 0.1117 x18

Calculated values
* magnetic moment: 7.88 Bohr magnetons per cell
* E_tot: -0.201 hartree per atom

***

# 4
YTl3Pt8 after structural relaxation, computed with PBE-GGA.

a = 5.4679 Å, b = 5.4679 Å, c = 26.6161 Å
α = 90.00°, β = 90.00°, γ = 120.00°
Space group R3m (No. 160, hexagonal axes)
One atom of each set of equivalent atoms:
Y: 0.0000 0.0000 0.0000 x3
Tl: 0.0000 0.0000 0.1270 x3
Tl: 0.0000 0.0000 0.4980 x3
Tl: 0.0000 0.0000 0.6209 x3
Pt: 0.0000 0.0000 0.3120 x3
Pt: 0.0000 0.0000 0.8119 x3
Pt: 0.0010 0.5005 0.5633 x9
Pt: 0.1677 0.3354 0.3940 x9

Calculated values
* magnetic moment: 0.00 Bohr magnetons per cell
* E_tot: -0.205 hartree per atom

***

> Which value of magnetic moment does entry 4 give?

0.00 Bohr magnetons per cell

***

Copy entry 2 word for word.
AgRh after structural relaxation, computed with PBE-GGA.

a = 2.739 Å, b = 2.739 Å, c = 4.274 Å
α = 90.00°, β = 90.00°, γ = 90.00°
Space group P4/mmm (No. 123)
One atom of each set of equivalent atoms:
Ag: 0.000 0.000 0.000 x1
Rh: 0.500 0.500 0.500 x1

Calculated values
* magnetic moment: 0.80 Bohr magnetons per cell
* E_tot: -0.175 hartree per atom

***

> The highest E_tot belongs to which entry?

AgRh